# Ac2Y4Tm5 (PBE, optimized geometry)
data_Ac2Y4Tm5
_chemical_formula_sum 'Ac4 Y8 Tm10'
_symmetry_space_group_name_H-M 'C 1 2/m 1'
_symmetry_Int_Tables_number 12
_symmetry_space_group_name_Hall '-C 2y'
_cell_length_a 24.138
_cell_length_b 3.631
_cell_length_c 9.250
_cell_angle_alpha 90.00
_cell_angle_beta 111.92
_cell_angle_gamma 90.00
loop_
_atom_site_label
_atom_site_fract_x
_atom_site_fract_y
_atom_site_fract_z
Ac1 0.112 0.000 0.425
Y1 0.045 0.000 0.716
Y2 0.186 0.500 0.842
Tm1 0.000 0.500 0.000
Tm2 0.132 0.000 0.073
Tm3 0.233 0.500 0.338
# Magnetic moment = 0.000 μB per formula unit
# Mass density = 7.305 g/cm3
# N(E_F) = 1.439 states/eV per atom
# Formation energy = 140 meV per atom

# Ac8Y4Tm (PBE, optimized geometry)
data_Ac8Y4Tm
_chemical_formula_sum 'Ac24 Y12 Tm3'
_symmetry_space_group_name_H-M 'R -3 m'
_symmetry_Int_Tables_number 166
_symmetry_space_group_name_Hall '-R 3 2"'
_cell_length_a 11.7812
_cell_length_b 11.7812
_cell_length_c 14.4135
_cell_angle_alpha 90.00
_cell_angle_beta 90.00
_cell_angle_gamma 120.00
loop_
_atom_site_label
_atom_site_fract_x
_atom_site_fract_y
_atom_site_fract_z
Ac1 0.0000 0.0000 0.2435
Ac2 0.0085 0.5042 0.7477
Y1 0.0000 0.0000 0.0000
Y2 0.0000 0.5000 0.0000
Tm1 0.0000 0.0000 0.5000
# Magnetic moment = 0.000 μB per formula unit
# Mass density = 6.730 g/cm3
# N(E_F) = 1.573 states/eV per atom
# Formation energy = 405 meV per atom

# AcYTm2 (PBE, optimized geometry)
data_AcYTm2
_chemical_formula_sum 'Ac1 Y1 Tm2'
_symmetry_space_group_name_H-M 'P 4/m m m'
_symmetry_Int_Tables_number 123
_symmetry_space_group_name_Hall '-P 4 2'
_cell_length_a 4.138
_cell_length_b 4.138
_cell_length_c 8.058
_cell_angle_alpha 90.00
_cell_angle_beta 90.00
_cell_angle_gamma 90.00
loop_
_atom_site_label
_atom_site_fract_x
_atom_site_fract_y
_atom_site_fract_z
Ac1 0.000 0.000 0.000
Y1 0.000 0.000 0.500
Tm1 0.500 0.500 0.274
# Magnetic moment = 0.000 μB per formula unit
# Mass density = 7.869 g/cm3
# N(E_F) = 1.613 states/eV per atom
# Formation energy = 98 meV per atom